Density functional theory data (GGA+U) for a geometry-optimized AcV2PtO8 structure.

DOS(E_F): 0.470 states/eV per atom
total moment: 1.03 μB per cell
volume: 160.0 Å³ per cell
calculated total energy: -7.061 eV/atom

```
AcV2PtO8
1.0
2.4799 1.4318 7.5096
-2.4799 1.4318 7.5096
0.0000 -2.8635 7.5096
Ac V Pt O
1 2 1 8
Direct
0.0000 0.0000 0.0000 Ac
0.2447 0.2447 0.2447 V
0.7553 0.7553 0.7553 V
0.5000 0.5000 0.5000 Pt
0.1194 0.4253 0.7674 O
0.2326 0.5747 0.8806 O
0.3215 0.3215 0.3215 O
0.4253 0.7674 0.1194 O
0.5747 0.8806 0.2326 O
0.6785 0.6785 0.6785 O
0.7674 0.1194 0.4253 O
0.8806 0.2326 0.5747 O
```